1.
This record from the Alexandria database describes a relaxed CrMoAu crystal. The functional is PBE-GGA.

```
data_CrMoAu
_chemical_formula_sum 'Cr2 Mo2 Au2'
_space_group_name_H-M_alt 'I 4 m m'
_space_group_IT_number 107
_space_group_name_Hall 'I 4 -2'
_cell_length_a 3.183
_cell_length_b 3.183
_cell_length_c 9.264
_cell_angle_alpha 90.00
_cell_angle_beta 90.00
_cell_angle_gamma 90.00
loop_
_atom_site_label
_atom_site_type_symbol
_atom_site_fract_x
_atom_site_fract_y
_atom_site_fract_z
_atom_site_occupancy
Cr1 Cr 0.000 0.000 0.000 1
Mo1 Mo 0.000 0.000 0.376 1
Au1 Au 0.000 0.000 0.684 1
```

Values from the calculation:
Energy of formation from the pure elements (meV/atom): 306
Uncorrected energy (eV/atom): -7.6047
ρ (kg/m³): 12206
Offset from the most stable computed form (meV/atom): 35
V (Å³/atom): 15.64
Magnetization (Bohr magnetons per cell): 1.7

=====

2.
This record from the Alexandria database describes a relaxed CrMoAu crystal. The functional is PBE-GGA.

```
data_CrMoAu
_chemical_formula_sum 'Cr4 Mo4 Au4'
_space_group_name_H-M_alt 'F -4 3 m'
_space_group_IT_number 216
_space_group_name_Hall 'F -4 2 3'
_cell_length_a 5.975
_cell_length_b 5.975
_cell_length_c 5.975
_cell_angle_alpha 90.00
_cell_angle_beta 90.00
_cell_angle_gamma 90.00
loop_
_atom_site_label
_atom_site_type_symbol
_atom_site_fract_x
_atom_site_fract_y
_atom_site_fract_z
_atom_site_occupancy
Cr1 Cr 0.000 0.000 0.000 1
Mo1 Mo 0.250 0.250 0.250 1
Au1 Au 0.250 0.250 0.750 1
```

Values from the calculation:
Energy of formation from the pure elements (meV/atom): 748
Uncorrected energy (eV/atom): -7.1627
ρ (kg/m³): 10740
Offset from the most stable computed form (meV/atom): 477
V (Å³/atom): 17.78
Magnetization (Bohr magnetons per cell): 3.9

=====

3.
This record from the Alexandria database describes a relaxed Cr2MoAu crystal. The functional is PBE-GGA.

```
data_Cr2MoAu
_chemical_formula_sum 'Cr2 Mo1 Au1'
_space_group_name_H-M_alt 'P 4/m m m'
_space_group_IT_number 123
_space_group_name_Hall '-P 4 2'
_cell_length_a 4.199
_cell_length_b 4.199
_cell_length_c 3.403
_cell_angle_alpha 90.00
_cell_angle_beta 90.00
_cell_angle_gamma 90.00
loop_
_atom_site_label
_atom_site_type_symbol
_atom_site_fract_x
_atom_site_fract_y
_atom_site_fract_z
_atom_site_occupancy
Cr1 Cr 0.000 0.500 0.000 1
Mo1 Mo 0.000 0.000 0.500 1
Au1 Au 0.500 0.500 0.500 1
```

Values from the calculation:
Energy of formation from the pure elements (meV/atom): 266
Uncorrected energy (eV/atom): -8.0731
ρ (kg/m³): 10987
Offset from the most stable computed form (meV/atom): 39
V (Å³/atom): 15.00
Magnetization (Bohr magnetons per cell): 4.1

=====

4.
This record from the Alexandria database describes a relaxed CrMoAu2 crystal. The functional is PBE-GGA.

```
data_CrMoAu2
_chemical_formula_sum 'Cr2 Mo2 Au4'
_space_group_name_H-M_alt 'I 4/m m m'
_space_group_IT_number 139
_space_group_name_Hall '-I 4 2'
_cell_length_a 3.897
_cell_length_b 3.897
_cell_length_c 8.541
_cell_angle_alpha 90.00
_cell_angle_beta 90.00
_cell_angle_gamma 90.00
loop_
_atom_site_label
_atom_site_type_symbol
_atom_site_fract_x
_atom_site_fract_y
_atom_site_fract_z
_atom_site_occupancy
Cr1 Cr 0.000 0.000 0.000 1
Mo1 Mo 0.000 0.000 0.500 1
Au1 Au 0.000 0.500 0.250 1
```

Values from the calculation:
Energy of formation from the pure elements (meV/atom): 299
Uncorrected energy (eV/atom): -6.4533
ρ (kg/m³): 13871
Offset from the most stable computed form (meV/atom): 62
V (Å³/atom): 16.22
Magnetization (Bohr magnetons per cell): 2.2

=====

5.
This record from the Alexandria database describes a relaxed CrMo3Au crystal. The functional is PBE-GGA.

```
data_CrMo3Au
_chemical_formula_sum 'Cr1 Mo3 Au1'
_space_group_name_H-M_alt 'P m -3 m'
_space_group_IT_number 221
_space_group_name_Hall '-P 4 2 3'
_cell_length_a 4.463
_cell_length_b 4.463
_cell_length_c 4.463
_cell_angle_alpha 90.00
_cell_angle_beta 90.00
_cell_angle_gamma 90.00
loop_
_atom_site_label
_atom_site_type_symbol
_atom_site_fract_x
_atom_site_fract_y
_atom_site_fract_z
_atom_site_occupancy
Cr1 Cr 0.000 0.000 0.000 1
Mo1 Mo 0.000 0.000 0.500 1
Au1 Au 0.500 0.500 0.500 1
```

Values from the calculation:
Energy of formation from the pure elements (meV/atom): 1106
Uncorrected energy (eV/atom): -7.9727
ρ (kg/m³): 10026
Offset from the most stable computed form (meV/atom): 0
V (Å³/atom): 17.78
Magnetization (Bohr magnetons per cell): 0.0

=====

6.
This record from the Alexandria database describes a relaxed CrMoAu2N crystal. The functional is PBE-GGA.

```
data_CrMoAu2N
_chemical_formula_sum 'Cr1 Mo1 Au2 N1'
_space_group_name_H-M_alt 'P 4/m m m'
_space_group_IT_number 123
_space_group_name_Hall '-P 4 2'
_cell_length_a 4.991
_cell_length_b 4.991
_cell_length_c 3.493
_cell_angle_alpha 90.00
_cell_angle_beta 90.00
_cell_angle_gamma 90.00
loop_
_atom_site_label
_atom_site_type_symbol
_atom_site_fract_x
_atom_site_fract_y
_atom_site_fract_z
_atom_site_occupancy
Cr1 Cr 0.000 0.000 0.000 1
Mo1 Mo 0.500 0.500 0.500 1
Au1 Au 0.000 0.500 0.000 1
N1 N 0.000 0.000 0.500 1
```

Values from the calculation:
Uncorrected energy (eV/atom): -6.1063
ρ (kg/m³): 10605
E_form (uncorrected) (kJ per mole of atoms): 92.69
V (Å³/atom): 17.41
Magnetization (Bohr magnetons per cell): 3.4